1.
## ZnFe2Au (GGA-PBE)

Data for ZnFe2Au after structural relaxation.

Properties
DFT formation energy = 117 meV per atom
M_tot = 5.32 μB/cell
Calculated total energy = -0.3860 Ry/atom

Geometry as CIF:
```
data_ZnFe2Au
_symmetry_space_group_name_H-M 'P 1'
_symmetry_Int_Tables_number 1
_symmetry_space_group_name_Hall 'P 1'
_cell_length_a 2.709
_cell_length_b 2.709
_cell_length_c 7.639
_cell_angle_alpha 90.00
_cell_angle_beta 90.00
_cell_angle_gamma 90.00
loop_
_atom_site_label
_atom_site_type_symbol
_atom_site_fract_x
_atom_site_fract_y
_atom_site_fract_z
_atom_site_occupancy
Fe1 Fe 0.000 0.000 0.017 1
Fe2 Fe 0.000 0.000 0.483 1
Zn1 Zn 0.500 0.500 0.250 1
Au1 Au 0.500 0.500 0.750 1
```

2.
## AlInTc3 (GGA-PBE)

Data for AlInTc3 after structural relaxation.

Properties
DFT formation energy = 2191 meV per atom
Relative energy among the computed polymorphs = 102.8 kJ/mol of atoms
M_tot = 6.63 μB/cell
Calculated total energy = -0.3914 Ry/atom

Geometry as CIF:
```
data_AlInTc3
_symmetry_space_group_name_H-M 'P 1'
_symmetry_Int_Tables_number 1
_symmetry_space_group_name_Hall 'P 1'
_cell_length_a 4.882
_cell_length_b 4.882
_cell_length_c 4.882
_cell_angle_alpha 90.00
_cell_angle_beta 90.00
_cell_angle_gamma 90.00
loop_
_atom_site_label
_atom_site_type_symbol
_atom_site_fract_x
_atom_site_fract_y
_atom_site_fract_z
_atom_site_occupancy
In1 In 0.000 0.000 0.000 1
Al1 Al 0.500 0.500 0.500 1
Tc1 Tc 0.500 0.000 0.000 1
Tc2 Tc 0.000 0.500 0.000 1
Tc3 Tc 0.000 0.000 0.500 1
```

3.
## PaZnInGe (GGA-PBE)

Data for PaZnInGe after structural relaxation.

Properties
DFT formation energy = -232 meV per atom
M_tot = 0.00 μB/cell
Calculated total energy = -0.3501 Ry/atom

Geometry as CIF:
```
data_PaZnInGe
_symmetry_space_group_name_H-M 'P 1'
_symmetry_Int_Tables_number 1
_symmetry_space_group_name_Hall 'P 1'
_cell_length_a 4.127
_cell_length_b 4.335
_cell_length_c 4.776
_cell_angle_alpha 90.00
_cell_angle_beta 90.00
_cell_angle_gamma 90.00
loop_
_atom_site_label
_atom_site_type_symbol
_atom_site_fract_x
_atom_site_fract_y
_atom_site_fract_z
_atom_site_occupancy
Pa1 Pa 0.500 0.500 0.000 1
Zn1 Zn 0.000 0.500 0.500 1
In1 In 0.500 0.000 0.500 1
Ge1 Ge 0.000 0.000 0.000 1
```

4.
## LiCr2Ru (GGA-PBE)

Data for LiCr2Ru after structural relaxation.

Properties
DFT formation energy = 387 meV per atom
M_tot = 0.00 μB/cell
Calculated total energy = -0.5308 Ry/atom

Geometry as CIF:
```
data_LiCr2Ru
_symmetry_space_group_name_H-M 'P 1'
_symmetry_Int_Tables_number 1
_symmetry_space_group_name_Hall 'P 1'
_cell_length_a 4.738
_cell_length_b 4.738
_cell_length_c 2.517
_cell_angle_alpha 90.00
_cell_angle_beta 90.00
_cell_angle_gamma 118.82
loop_
_atom_site_label
_atom_site_type_symbol
_atom_site_fract_x
_atom_site_fract_y
_atom_site_fract_z
_atom_site_occupancy
Li1 Li 0.500 0.000 0.500 1
Cr1 Cr 0.000 0.000 0.000 1
Cr2 Cr 0.500 0.500 0.000 1
Ru1 Ru 0.000 0.500 0.500 1
```

5.
## GdGaAg (GGA-PBE)

Data for GdGaAg after structural relaxation.

Properties
DFT formation energy = -254 meV per atom
M_tot = 7.57 μB/cell
Calculated total energy = -0.5076 Ry/atom

Geometry as CIF:
```
data_GdGaAg
_symmetry_space_group_name_H-M 'P 1'
_symmetry_Int_Tables_number 1
_symmetry_space_group_name_Hall 'P 1'
_cell_length_a 4.710
_cell_length_b 4.710
_cell_length_c 4.710
_cell_angle_alpha 60.00
_cell_angle_beta 60.00
_cell_angle_gamma 60.00
loop_
_atom_site_label
_atom_site_type_symbol
_atom_site_fract_x
_atom_site_fract_y
_atom_site_fract_z
_atom_site_occupancy
Gd1 Gd 0.000 0.000 0.000 1
Ga1 Ga 0.500 0.500 0.500 1
Ag1 Ag 0.250 0.250 0.250 1
```

6.
## LiHfNbTc (GGA-PBE)

Data for LiHfNbTc after structural relaxation.

Properties
DFT formation energy = -103 meV per atom
M_tot = 0.00 μB/cell
Calculated total energy = -0.6011 Ry/atom

Geometry as CIF:
```
data_LiHfNbTc
_symmetry_space_group_name_H-M 'P 1'
_symmetry_Int_Tables_number 1
_symmetry_space_group_name_Hall 'P 1'
_cell_length_a 4.560
_cell_length_b 4.560
_cell_length_c 4.560
_cell_angle_alpha 60.00
_cell_angle_beta 60.00
_cell_angle_gamma 60.00
loop_
_atom_site_label
_atom_site_type_symbol
_atom_site_fract_x
_atom_site_fract_y
_atom_site_fract_z
_atom_site_occupancy
Hf1 Hf 0.750 0.750 0.750 1
Nb1 Nb 0.250 0.250 0.250 1
Li1 Li 0.000 0.000 0.000 1
Tc1 Tc 0.500 0.500 0.500 1
```

Q: What is the M_tot in the first record?
A: 5.32 μB/cell